# 1
DFT (PBE) results for a relaxed structure of SrInTeN2.

* density: 4.8 g cm⁻³
* space group: No. 123
* formation energy from raw total energies: 0.622 eV per atom
* excess energy over the best structure of this formula in the dataset: 0.000 eV per formula unit
* E: -21.1 eV per formula unit

Cell: 4.547 4.547 6.022 Å, 90.00 90.00 90.00°
Each line ends with the local moment (μB).
Fractional coordinates of all 5 atoms:
N (0.500, 0.000, 0.000)  0.98
N (0.000, 0.500, 0.000)  0.98
In (0.000, 0.000, 0.000)  -0.06
Sr (0.500, 0.500, 0.500)  -0.01
Te (0.000, 0.000, 0.500)  0.12

---

# 2
DFT (PBE) results for a relaxed structure of SrThInN3.

* density: 6.7 g cm⁻³
* space group: No. 11
* formation energy from raw total energies: -0.676 eV per atom
* E: -40.9 eV per formula unit

Cell: 3.647 7.708 8.377 Å, 91.21 90.00 90.00°
Fractional coordinates of all 12 atoms:
N (0.750, 0.163, 0.439)
N (0.750, 0.409, 0.113)
N (0.750, 0.829, 0.157)
N (0.250, 0.591, 0.887)
N (0.250, 0.171, 0.843)
N (0.250, 0.837, 0.561)
Th (0.250, 0.617, 0.154)
Th (0.750, 0.383, 0.846)
In (0.250, 0.135, 0.582)
In (0.750, 0.865, 0.418)
Sr (0.750, 0.855, 0.821)
Sr (0.250, 0.145, 0.179)

---

# 3
DFT (PBE) results for a relaxed structure of SrTh2InN4.

* density: 8.3 g cm⁻³
* space group: No. 63
* formation energy from raw total energies: -0.907 eV per atom
* E: -59.8 eV per formula unit

Cell: 3.717 6.496 12.471 Å, 90.00 90.00 106.62°
Fractional coordinates of all 16 atoms:
N (0.000, 0.000, 0.500)
N (0.429, 0.859, 0.750)
N (0.268, 0.536, 0.393)
N (0.732, 0.464, 0.607)
N (0.000, 0.000, 0.000)
N (0.571, 0.141, 0.250)
N (0.732, 0.464, 0.893)
N (0.268, 0.536, 0.107)
Th (0.628, 0.256, 0.454)
Th (0.628, 0.256, 0.046)
Th (0.372, 0.744, 0.546)
Th (0.372, 0.744, 0.954)
Sr (0.094, 0.189, 0.750)
Sr (0.906, 0.811, 0.250)
In (0.171, 0.343, 0.250)
In (0.829, 0.657, 0.750)

---

# 4
DFT (PBE) results for a relaxed structure of Sr2TlInN.

* density: 6.4 g cm⁻³
* space group: No. 123
* formation energy from raw total energies: -0.327 eV per atom
* E: -18.4 eV per formula unit

Cell: 5.341 5.341 4.641 Å, 90.00 90.00 90.00°
Fractional coordinates of all 5 atoms:
Tl (0.500, 0.500, 0.500)
N (0.000, 0.000, 0.000)
Sr (0.000, 0.500, 0.000)
Sr (0.500, 0.000, 0.000)
In (0.000, 0.000, 0.500)

---

# 5
DFT (PBE) results for a relaxed structure of SrVInN2.

* density: 4.8 g cm⁻³
* space group: No. 123
* formation energy from raw total energies: 0.855 eV per atom
* E: -25.9 eV per formula unit

Cell: 4.138 5.737 4.138 Å, 90.00 90.00 90.00°
Each line ends with the local moment (μB).
Fractional coordinates of all 5 atoms:
N (0.500, 0.000, 0.000)  -0.56
N (0.000, 0.000, 0.500)  -0.65
Sr (0.000, 0.500, 0.000)  0.12
V (0.000, 0.000, 0.000)  1.67
In (0.500, 0.500, 0.500)  0.00

---

# 6
DFT (PBE) results for a relaxed structure of Sr2YInN.

* density: 4.8 g cm⁻³
* space group: No. 123
* formation energy from raw total energies: -0.661 eV per atom
* E: -24.2 eV per formula unit

Cell: 5.415 5.415 4.677 Å, 90.00 90.00 90.00°
Fractional coordinates of all 5 atoms:
Sr (0.500, 0.000, 0.000)
Sr (0.000, 0.500, 0.000)
Y (0.000, 0.000, 0.500)
N (0.000, 0.000, 0.000)
In (0.500, 0.500, 0.500)